# Be2SiRu (GGA-PBE, optimized geometry)
data_Be2SiRu
_chemical_formula_sum 'Be4 Si2 Ru2'
_space_group_name_H-M_alt 'P 1'
_space_group_IT_number 1
_space_group_name_Hall 'P 1'
_cell_length_a 6.3831
_cell_length_b 6.3831
_cell_length_c 5.0905
_cell_angle_alpha 51.17
_cell_angle_beta 51.17
_cell_angle_gamma 90.00
loop_
_atom_site_label
_atom_site_type_symbol
_atom_site_fract_x
_atom_site_fract_y
_atom_site_fract_z
_atom_site_occupancy
Ru1 Ru 0.0000 0.0000 0.0000 1
Ru2 Ru 0.7500 0.2500 0.5000 1
Si1 Si 0.5000 0.5000 0.0000 1
Si2 Si 0.2500 0.7500 0.5000 1
Be1 Be 0.6195 0.1250 0.2500 1
Be2 Be 0.1305 0.6250 0.2500 1
Be3 Be 0.3750 0.3805 0.7500 1
Be4 Be 0.8750 0.8695 0.7500 1
# * space group: I-42d
# * volume: 11.99 Å³/atom
# * electronic total energy: -41.4 eV per cell
# * uncorrected formation energy: 359 meV/atom